Density functional theory data (PBE) for a geometry-optimized TbTmTlS structure.

a b c (Å): 3.7718 3.7752 8.3968
angles (deg): 90.00 102.91 119.96
Element x y z (fractional)
1 Tm 0.5047 0.1505 0.6698
2 Tl 0.9712 0.3832 0.3706
3 Tb 0.1009 0.9484 0.0646
4 S 0.3011 0.5487 0.8646

Uncorrected formation energy = -4.5 eV per formula unit
Symmetry = Cm (8)
Spin magnetization = 0.00 μB per cell

Density functional theory data (PBE) for a geometry-optimized Tb2TmTl3S6 structure.

a b c (Å): 6.9732 6.9732 7.8726
angles (deg): 98.49 98.49 120.00
Element x y z (fractional)
1 S 0.6056 0.9342 0.8029
2 S 0.3944 0.0658 0.1971
3 S 0.7373 0.7373 0.1981
4 S 0.0658 0.3944 0.1971
5 S 0.2627 0.2627 0.8019
6 S 0.9342 0.6056 0.8029
7 Tl 0.5000 0.5000 0.5000
8 Tl 0.1673 0.8327 0.5000
9 Tl 0.8327 0.1673 0.5000
10 Tb 0.6667 0.3333 0.0000
11 Tb 0.3333 0.6667 0.0000
12 Tm 0.0000 0.0000 0.0000

Uncorrected formation energy = -17.9 eV per formula unit
Symmetry = C2/m (12)
Spin magnetization = 0.00 μB per cell

Density functional theory data (PBE) for a geometry-optimized TbU3Tl3S8 structure.

a b c (Å): 8.0319 8.0316 8.8910
angles (deg): 116.87 90.00 120.00
Site moments in Bohr magnetons follow the coordinates.
Element x y z (fractional)
1 S 0.7668 0.0382 0.3051  -0.05
2 S 0.7319 0.4637 0.6954  -0.06
3 S 0.2681 0.5363 0.3046  -0.06
4 S 0.7286 0.9618 0.6949  -0.05
5 S 0.7668 0.5335 0.3051  -0.05
6 S 0.2714 0.0382 0.3051  -0.05
7 S 0.2332 0.9618 0.6949  -0.05
8 S 0.2332 0.4665 0.6949  -0.05
9 Tl 0.5000 0.5000 0.0000  0.01
10 Tl 0.0000 0.0000 0.0000  0.01
11 Tl 0.0000 0.5000 0.0000  0.01
12 U 0.0000 0.5000 0.5000  2.43
13 U 0.5000 0.5000 0.5000  2.43
14 U 0.5000 0.0000 0.5000  2.43
15 Tb 0.0000 0.0000 0.5000  0.08

Uncorrected formation energy = -18.3 eV per formula unit
Symmetry = R-3m (166)
Spin magnetization = 8.00 μB per cell

Density functional theory data (PBE) for a geometry-optimized TbUTl2S6 structure.

a b c (Å): 7.1517 7.2550 10.2888
angles (deg): 90.00 89.91 90.00
Element x y z (fractional)
1 S 0.3148 0.7068 0.4544
2 S 0.0876 0.4793 0.7584
3 S 0.7047 0.3118 0.9588
4 S 0.6852 0.2932 0.5456
5 S 0.5876 0.0207 0.2584
6 S 0.2953 0.6882 0.0412
7 S 0.9124 0.5207 0.2416
8 S 0.8148 0.7932 0.9544
9 S 0.7953 0.8118 0.5412
10 S 0.4124 0.9793 0.7416
11 S 0.2047 0.1882 0.4588
12 S 0.1852 0.2068 0.0456
13 U 0.5000 0.0000 0.5000
14 U 0.0000 0.5000 0.0000
15 Tl 0.0073 0.9532 0.2514
16 Tl 0.4927 0.4532 0.2486
17 Tl 0.5073 0.5468 0.7514
18 Tl 0.9927 0.0468 0.7486
19 Tb 0.0000 0.5000 0.5000
20 Tb 0.5000 0.0000 0.0000

Uncorrected formation energy = -9.9 eV per formula unit
Symmetry = P2_1/c (14)
Spin magnetization = 0.00 μB per cell

Density functional theory data (PBE) for a geometry-optimized Tb3UTl4S8 structure.

a b c (Å): 8.0999 8.8806 8.0997
angles (deg): 117.14 120.00 90.00
Site moments in Bohr magnetons follow the coordinates.
Element x y z (fractional)
1 S 0.2318 0.6978 0.4637  -0.02
2 S 0.7682 0.3022 0.0340  -0.02
3 S 0.7682 0.3022 0.5363  -0.02
4 S 0.2318 0.6978 0.9660  -0.02
5 S 0.2676 0.3029 0.5352  0.00
6 S 0.7324 0.6971 0.4648  0.00
7 S 0.7342 0.6978 0.9660  -0.02
8 S 0.2658 0.3022 0.0340  -0.02
9 U 0.0000 0.5000 0.0000  2.49
10 Tb 0.0000 0.5000 0.5000  0.06
11 Tb 0.5000 0.5000 0.5000  0.06
12 Tb 0.5000 0.5000 0.0000  0.06
13 Tl 0.5000 0.0000 0.5000  0.01
14 Tl 0.0000 0.0000 0.5000  0.01
15 Tl 0.0000 0.0000 0.0000  0.01
16 Tl 0.5000 0.0000 0.0000  0.00

Uncorrected formation energy = -21.7 eV per formula unit
Symmetry = R-3m (166)
Spin magnetization = 3.01 μB per cell

Density functional theory data (PBE) for a geometry-optimized Tb4UTlS8 structure.

a b c (Å): 8.2803 8.2803 8.2072
angles (deg): 59.70 59.70 60.00
Site moments in Bohr magnetons follow the coordinates.
Element x y z (fractional)
1 Tb 0.0045 0.0045 0.5007  0.06
2 Tb 0.4902 0.0045 0.5007  0.06
3 Tb 0.0045 0.4902 0.5007  0.06
4 Tb 0.6246 0.6246 0.1263  0.05
5 Tl 0.3787 0.3787 0.8638  0.00
6 S 0.2308 0.2308 0.7364  -0.03
7 S 0.8019 0.2308 0.7364  -0.03
8 S 0.2282 0.7550 0.2617  -0.02
9 S 0.7550 0.7550 0.2617  -0.02
10 S 0.7579 0.7579 0.7263  0.00
11 S 0.2308 0.8019 0.7364  -0.03
12 S 0.7550 0.2282 0.2617  -0.02
13 S 0.2358 0.2358 0.2927  0.00
14 U 0.0019 0.0019 0.9944  2.51

Uncorrected formation energy = -23.3 eV per formula unit
Symmetry = R3m (160)
Spin magnetization = 3.00 μB per cell

Density functional theory data (PBE) for a geometry-optimized Tb2UTl3S6 structure.

a b c (Å): 7.0131 7.0131 7.9212
angles (deg): 98.49 98.49 119.98
Site moments in Bohr magnetons follow the coordinates.
Element x y z (fractional)
1 S 0.0656 0.3974 0.1964  -0.02
2 S 0.7339 0.7339 0.1974  -0.02
3 S 0.9344 0.6026 0.8036  -0.02
4 S 0.2661 0.2661 0.8026  -0.02
5 S 0.3974 0.0656 0.1964  -0.02
6 S 0.6026 0.9344 0.8036  -0.02
7 Tl 0.1676 0.8324 0.5000  0.01
8 Tl 0.5000 0.5000 0.5000  0.01
9 Tl 0.8324 0.1676 0.5000  0.01
10 U 0.0000 0.0000 0.0000  2.47
11 Tb 0.6666 0.3334 0.0000  0.08
12 Tb 0.3334 0.6666 0.0000  0.08

Uncorrected formation energy = -15.7 eV per formula unit
Symmetry = C2/m (12)
Spin magnetization = 3.01 μB per cell

Density functional theory data (PBE) for a geometry-optimized TbY2Tl3S6 structure.

a b c (Å): 7.0001 7.0001 7.8727
angles (deg): 98.52 98.52 120.00
Element x y z (fractional)
1 S 0.9339 0.5998 0.8016
2 S 0.0661 0.4002 0.1984
3 S 0.4002 0.0661 0.1984
4 S 0.5998 0.9339 0.8016
5 S 0.2679 0.2679 0.8017
6 S 0.7321 0.7321 0.1983
7 Tl 0.5000 0.5000 0.5000
8 Tl 0.8333 0.1667 0.5000
9 Tl 0.1667 0.8333 0.5000
10 Tb 0.0000 0.0000 0.0000
11 Y 0.6666 0.3334 0.0000
12 Y 0.3334 0.6666 0.0000

Uncorrected formation energy = -17.9 eV per formula unit
Symmetry = C2/m (12)
Spin magnetization = 0.00 μB per cell